DFT (PBE with a Hubbard U) results for crystalline SrCo2TeO6 at its relaxed geometry.

The space group is R3 (No. 146, hexagonal axes) and the conventional cell measures 5.4086, 5.4086 and 14.3848 Å, with angles of 90.00, 90.00 and 120.00 degrees. The inequivalent atoms are Sr at (0.0000, 0.0000, 0.0000), Co at (0.0000, 0.0000, 0.2546), Co at (0.0000, 0.0000, 0.7790), Te at (0.0000, 0.0000, 0.4664), O at (0.0155, 0.3945, 0.5213) and O at (0.0165, 0.5715, 0.0410).

The calculated density is 5.87 Mg/m³. The total moment is 11.85 μB per cell. As for the total energy: -5.831 eV/atom.

DFT (PBE with a Hubbard U) results for crystalline Sr2CoTeO6 at its relaxed geometry.

The space group is C2/m (No. 12) and the conventional cell measures 9.847, 5.656 and 5.733 Å, with angles of 90.00, 125.34 and 90.00 degrees. The inequivalent atoms are Sr at (0.249, 0.000, 0.254), Co at (0.000, 0.500, 0.000), Te at (0.000, 0.000, 0.500), O at (0.035, 0.242, 0.296) and O at (0.238, 0.000, 0.803).

The energy above the lowest structure with this stoichiometry comes out at 0.03 eV/f.u. The calculated density is 5.84 Mg/m³. The total moment is 6.00 μB per cell.

DFT (PBE with a Hubbard U) results for crystalline Sr3TiCo2O9 at its relaxed geometry.

The space group is P-3m1 (No. 164) and the conventional cell measures 5.4940, 5.4940 and 6.7369 Å, with angles of 90.00, 90.00 and 120.00 degrees. The inequivalent atoms are Sr at (0.0000, 0.0000, 0.0000), Sr at (0.3333, 0.6667, 0.6691), Ti at (0.0000, 0.0000, 0.5000), Co at (0.3333, 0.6667, 0.1633), O at (0.0000, 0.5000, 0.0000) and O at (0.1676, 0.3352, 0.3316).

The calculated density is 5.40 Mg/m³. The total moment is 5.87 μB per cell. As for the total energy: -6.603 eV/atom.

DFT (PBE with a Hubbard U) results for crystalline Sr3Ti2CoO9 at its relaxed geometry.

The space group is P-3m1 (No. 164) and the conventional cell measures 5.4994, 5.4994 and 6.7416 Å, with angles of 90.00, 90.00 and 120.00 degrees. The inequivalent atoms are Sr at (0.0000, 0.0000, 0.0000), Sr at (0.3333, 0.6667, 0.6633), Ti at (0.3333, 0.6667, 0.1723), Co at (0.0000, 0.0000, 0.5000), O at (0.0000, 0.5000, 0.0000) and O at (0.1636, 0.3272, 0.3374).

The calculated density is 5.28 Mg/m³. The total moment is 0.99 μB per cell. As for the total energy: -7.311 eV/atom.

DFT (PBE with a Hubbard U) results for crystalline Sr2TiCoO6 at its relaxed geometry.

The space group is Fm-3m (No. 225) and the conventional cell measures 7.727, 7.727 and 7.727 Å, with angles of 90.00, 90.00 and 90.00 degrees. The inequivalent atoms are Sr at (0.250, 0.250, 0.250), Ti at (0.000, 0.000, 0.000), Co at (0.000, 0.000, 0.500) and O at (0.000, 0.000, 0.254).

The calculated density is 5.44 Mg/m³. The total moment is 4.00 μB per cell. As for the total energy: -6.971 eV/atom.

DFT (PBE with a Hubbard U) results for crystalline SrTlCoO2 at its relaxed geometry.

The space group is P4/mmm (No. 123) and the conventional cell measures 4.352, 4.352 and 4.748 Å, with angles of 90.00, 90.00 and 90.00 degrees. The inequivalent atoms are Sr at (0.000, 0.000, 0.000), Tl at (0.500, 0.500, 0.000), Co at (0.500, 0.500, 0.500) and O at (0.000, 0.500, 0.500).

The calculated density is 7.07 Mg/m³. The total moment is 2.34 μB per cell. As for the total energy: -4.226 eV/atom.

DFT (PBE with a Hubbard U) results for crystalline SrTlCoO4 at its relaxed geometry.

The space group is P2_1/m (No. 11) and the conventional cell measures 5.759, 5.867 and 6.764 Å, with angles of 90.00, 107.23 and 90.00 degrees. The inequivalent atoms are Sr at (0.243, 0.250, 0.443), Tl at (0.326, 0.250, 0.961), Co at (0.210, 0.750, 0.173), O at (0.008, 0.750, 0.915), O at (0.047, 0.750, 0.361) and O at (0.468, 0.522, 0.220).

The calculated density is 6.31 Mg/m³. The total moment is 7.97 μB per cell. As for the total energy: -5.456 eV/atom.

DFT (PBE with a Hubbard U) results for crystalline Sr3Tl3CoO8 at its relaxed geometry.

The space group is R-3m (No. 166, hexagonal axes) and the conventional cell measures 7.0414, 7.0414 and 17.2100 Å, with angles of 90.00, 90.00 and 120.00 degrees. The inequivalent atoms are Sr at (0.0000, 0.5000, 0.0000), Tl at (0.0000, 0.5000, 0.5000), Co at (0.0000, 0.0000, 0.5000), O at (0.0000, 0.0000, 0.2520) and O at (0.0612, 0.5306, 0.2330).

The calculated density is 7.17 Mg/m³. The total moment is 0.00 μB per cell. As for the total energy: -5.208 eV/atom.

DFT (PBE with a Hubbard U) results for crystalline SrTl2CoO4 at its relaxed geometry.

The space group is Cmcm (No. 63) and the conventional cell measures 3.374, 11.518 and 16.001 Å, with angles of 90.00, 90.00 and 90.00 degrees. The inequivalent atoms are Sr at (0.000, 0.004, 0.250), Tl at (0.000, 0.360, 0.531), Co at (0.000, 0.261, 0.750), O at (0.000, 0.000, 0.000), O at (0.000, 0.323, 0.250) and O at (0.000, 0.382, 0.668).

The calculated density is 6.62 Mg/m³. The total moment is 14.50 μB per cell. As for the total energy: -5.048 eV/atom.

DFT (PBE with a Hubbard U) results for crystalline Sr2TlCoO4 at its relaxed geometry.

The space group is P2/m (No. 10) and the conventional cell measures 6.501, 3.374 and 6.726 Å, with angles of 90.00, 117.92 and 90.00 degrees. The inequivalent atoms are Sr at (0.000, 0.000, 0.000), Sr at (0.000, 0.500, 0.500), Tl at (0.500, 0.000, 0.500), Co at (0.500, 0.500, 0.000), O at (0.221, 0.500, 0.282) and O at (0.282, 0.000, 0.809).

The calculated density is 6.40 Mg/m³. The total moment is 3.00 μB per cell. As for the total energy: -5.406 eV/atom.

DFT (PBE with a Hubbard U) results for crystalline Sr2TlCoO5 at its relaxed geometry.

The space group is Cmc2_1 (No. 36) and the conventional cell measures 3.489, 14.062 and 10.739 Å, with angles of 90.00, 90.00 and 90.00 degrees. The inequivalent atoms are Sr at (0.000, 0.103, 0.000), Sr at (0.000, 0.147, 0.641), Tl at (0.000, 0.206, 0.346), Co at (0.000, 0.474, 0.762), O at (0.000, 0.039, 0.345), O at (0.000, 0.282, 0.991), O at (0.000, 0.329, 0.708), O at (0.000, 0.370, 0.322) and O at (0.000, 0.489, 0.104).

The calculated density is 6.54 Mg/m³. The total moment is 15.84 μB per cell. As for the total energy: -5.664 eV/atom.

DFT (PBE with a Hubbard U) results for crystalline Sr2YTlCo2O7 at its relaxed geometry.

The space group is P4/mmm (No. 123) and the conventional cell measures 3.843, 3.843 and 12.299 Å, with angles of 90.00, 90.00 and 90.00 degrees. The inequivalent atoms are Sr at (0.000, 0.000, 0.204), Y at (0.000, 0.000, 0.500), Tl at (0.500, 0.500, 0.000), Co at (0.500, 0.500, 0.355), O at (0.000, 0.000, 0.000), O at (0.000, 0.500, 0.382) and O at (0.500, 0.500, 0.184).

The calculated density is 6.38 Mg/m³. The total moment is 5.07 μB per cell. As for the total energy: -6.341 eV/atom.